[1]
# KLaPb3

A geometry-optimized KLaPb3 structure (PBEsol, Alexandria).

## Properties
Formation energy from the elements = 0.58 eV per atom
E_tot = -15.56 eV/f.u.

Geometry as POSCAR:
```
KLaPb3
1.0
5.6361 0.0000 0.0000
0.0000 5.6361 0.0000
0.0000 0.0000 5.6361
K La Pb
1 1 3
Direct
0.0000 0.0000 0.0000 K
0.5000 0.5000 0.5000 La
0.0000 0.0000 0.5000 Pb
0.0000 0.5000 0.0000 Pb
0.5000 0.0000 0.0000 Pb
```

***

[2]
# KLaPb2

A geometry-optimized KLaPb2 structure (PBEsol, Alexandria).

## Properties
Formation energy from the elements = -0.38 eV per atom
E_tot = -15.98 eV/f.u.

Geometry as POSCAR:
```
KLaPb2
1.0
3.5354 0.0000 0.0000
0.0000 3.5354 0.0000
0.0000 0.0000 10.1711
K La Pb
1 1 2
Direct
0.0000 0.0000 0.0000 K
0.0000 0.0000 0.5000 La
0.5000 0.5000 0.2647 Pb
0.5000 0.5000 0.7353 Pb
```

***

[3]
# KLaPb

A geometry-optimized KLaPb structure (PBEsol, Alexandria).

## Properties
Formation energy from the elements = -0.13 eV per atom
E_tot = -10.85 eV/f.u.

Geometry as POSCAR:
```
KLaPb
1.0
-1.8167 1.8167 8.5104
1.8167 -1.8167 8.5104
1.8167 1.8167 -8.5104
K La Pb
1 1 1
Direct
0.0000 0.0000 0.0000 K
0.2783 0.2783 0.0000 La
0.6515 0.6515 0.0000 Pb
```

***

[4]
# KLaPb2

A geometry-optimized KLaPb2 structure (PBEsol, Alexandria).

## Properties
Formation energy from the elements = -0.37 eV per atom
E_tot = -15.97 eV/f.u.

Geometry as POSCAR:
```
KLaPb2
1.0
3.6441 0.0000 0.0000
0.0000 4.8295 0.0000
0.0000 0.0000 7.6475
K La Pb
1 1 2
Direct
0.0000 0.0000 0.0000 K
0.0000 0.0000 0.5000 La
0.5000 0.5000 0.2934 Pb
0.5000 0.5000 0.7066 Pb
```

***

[5]
# KLaY2Pd

A geometry-optimized KLaY2Pd structure (PBEsol, Alexandria).

## Properties
Formation energy from the elements = 0.64 eV per atom
E_tot = -22.86 eV/f.u.

Geometry as POSCAR:
```
KLaY2Pd
1.0
5.8181 0.0000 0.0000
0.0000 5.8181 0.0000
0.0000 0.0000 5.1446
K La Y Pd
1 1 2 1
Direct
0.0000 0.0000 0.0000 K
0.5000 0.5000 0.5000 La
0.0000 0.5000 0.5000 Y
0.5000 0.0000 0.5000 Y
0.5000 0.5000 0.0000 Pd
```

***

[6]
# KLaPt4

A geometry-optimized KLaPt4 structure (PBEsol, Alexandria).

## Properties
Formation energy from the elements = -0.69 eV per atom
E_tot = -38.46 eV/f.u.

Geometry as POSCAR:
```
KLaPt4
1.0
0.0000 3.8514 3.8514
3.8514 0.0000 3.8514
3.8514 3.8514 0.0000
K La Pt
1 1 4
Direct
0.0000 0.0000 0.0000 K
0.2500 0.2500 0.2500 La
0.1246 0.6251 0.6251 Pt
0.6251 0.1246 0.6251 Pt
0.6251 0.6251 0.1246 Pt
0.6251 0.6251 0.6251 Pt
```

***

[7]
# KLa2Pt

A geometry-optimized KLa2Pt structure (PBEsol, Alexandria).

## Properties
Formation energy from the elements = 0.05 eV per atom
E_tot = -18.57 eV/f.u.

Geometry as POSCAR:
```
KLa2Pt
1.0
4.2795 0.0000 0.0000
0.0000 4.5466 0.0000
0.0000 0.0000 5.5745
K La Pt
1 2 1
Direct
0.0000 0.0000 0.0000 K
0.5000 0.0000 0.5000 La
0.5000 0.5000 0.0000 La
0.0000 0.5000 0.5000 Pt
```

***

[8]
# KLa2Pt

A geometry-optimized KLa2Pt structure (PBEsol, Alexandria).

## Properties
Formation energy from the elements = -0.25 eV per atom
E_tot = -19.78 eV/f.u.

Geometry as POSCAR:
```
KLa2Pt
1.0
4.0489 0.0000 0.0000
0.0000 4.0489 0.0000
0.0000 0.0000 9.6883
K La Pt
1 2 1
Direct
0.0000 0.0000 0.0000 K
0.0000 0.0000 0.6207 La
0.5000 0.5000 0.3539 La
0.5000 0.5000 0.6448 Pt
```

***

[9]
# K2LaTePt

A geometry-optimized K2LaTePt structure (PBEsol, Alexandria).

## Properties
E_tot = -19.91 eV/f.u.
E_form (uncorrected) = -0.3608 eV per atom

Geometry as POSCAR:
```
K2LaTePt
1.0
5.8187 0.0000 0.0000
0.0000 5.8187 0.0000
0.0000 0.0000 5.3476
K La Te Pt
2 1 1 1
Direct
0.0000 0.5000 0.0000 K
0.5000 0.0000 0.0000 K
0.0000 0.0000 0.5000 La
0.5000 0.5000 0.5000 Te
0.0000 0.0000 0.0000 Pt
```

***

[10]
# KLaTl2Pt

A geometry-optimized KLaTl2Pt structure (PBEsol, Alexandria).

## Properties
Formation energy from the elements = -0.16 eV per atom
E_tot = -19.51 eV/f.u.

Geometry as POSCAR:
```
KLaTl2Pt
1.0
5.4969 0.0000 0.0000
0.0000 5.4969 0.0000
0.0000 0.0000 5.3279
K La Tl Pt
1 1 2 1
Direct
0.0000 0.0000 0.0000 K
0.5000 0.5000 0.0000 La
0.0000 0.5000 0.5000 Tl
0.5000 0.0000 0.5000 Tl
0.5000 0.5000 0.5000 Pt
```

***

[11]
# KRbLa3

A geometry-optimized KRbLa3 structure (PBEsol, Alexandria).

## Properties
Formation energy from the elements = 1.03 eV per atom
E_tot = -13.03 eV/f.u.

Geometry as POSCAR:
```
KRbLa3
1.0
5.9404 0.0000 0.0000
0.0000 5.9404 0.0000
0.0000 0.0000 5.9404
K Rb La
1 1 3
Direct
0.0000 0.0000 0.0000 K
0.5000 0.5000 0.5000 Rb
0.0000 0.5000 0.5000 La
0.5000 0.0000 0.5000 La
0.5000 0.5000 0.0000 La
```

***

[12]
# KRb2LaTc

A geometry-optimized KRb2LaTc structure (PBEsol, Alexandria).

## Properties
Formation energy from the elements = 1.92 eV per atom
E_tot = -10.17 eV/f.u.

Geometry as POSCAR:
```
KRb2LaTc
1.0
6.0058 0.0000 0.0000
0.0000 6.0058 0.0000
0.0000 0.0000 6.6198
K Rb La Tc
1 2 1 1
Direct
0.0000 0.0000 0.0000 K
0.0000 0.5000 0.0000 Rb
0.5000 0.0000 0.0000 Rb
0.0000 0.0000 0.5000 La
0.5000 0.5000 0.5000 Tc
```

***

[13]
# K2LaRe

A geometry-optimized K2LaRe structure (PBEsol, Alexandria).

## Properties
Formation energy from the elements = 1.18 eV per atom
E_tot = -16.23 eV/f.u.

Geometry as POSCAR:
```
K2LaRe
1.0
3.5200 0.0000 0.0000
0.0000 4.8956 0.0000
0.0000 0.0000 6.5273
K La Re
2 1 1
Direct
0.0000 0.0000 0.0000 K
0.5000 0.5000 0.0000 K
0.0000 0.5000 0.5000 La
0.5000 0.0000 0.5000 Re
```

***

[14]
# K2LaRe

A geometry-optimized K2LaRe structure (PBEsol, Alexandria).

## Properties
Formation energy from the elements = 1.19 eV per atom
E_tot = -16.19 eV/f.u.

Geometry as POSCAR:
```
K2LaRe
1.0
2.8745 -6.5575 0.0000
2.8745 6.5575 0.0000
-1.6832 0.0000 2.9708
K La Re
2 1 1
Direct
0.0000 0.5000 0.0000 K
0.5000 0.0000 0.0000 K
0.0000 0.0000 0.5000 La
0.5000 0.5000 0.5000 Re
```

***

[15]
# K2LaRe

A geometry-optimized K2LaRe structure (PBEsol, Alexandria).

## Properties
Formation energy from the elements = 1.32 eV per atom
E_tot = -15.67 eV/f.u.

Geometry as POSCAR:
```
K2LaRe
1.0
2.9367 0.0000 0.0000
0.0000 5.8097 0.0000
0.0000 0.0000 6.2871
K La Re
2 1 1
Direct
0.0000 0.2349 0.0000 K
0.0000 0.7651 0.0000 K
0.5000 0.5000 0.5000 La
0.5000 0.0000 0.5000 Re
```

***

[16]
# K2LaRe

A geometry-optimized K2LaRe structure (PBEsol, Alexandria).

## Properties
Formation energy from the elements = 1.56 eV per atom
E_tot = -14.69 eV/f.u.

Geometry as POSCAR:
```
K2LaRe
1.0
4.8438 0.0000 0.0000
0.0000 4.8438 0.0000
0.0000 0.0000 5.6707
K La Re
2 1 1
Direct
0.0000 0.0000 0.2364 K
0.0000 0.0000 0.7636 K
0.5000 0.5000 0.5000 La
0.5000 0.5000 0.0000 Re
```

***

[17]
# KLa2ZnRe

A geometry-optimized KLa2ZnRe structure (PBEsol, Alexandria).

## Properties
Formation energy from the elements = 1.79 eV per atom
E_tot = -17.78 eV/f.u.

Geometry as POSCAR:
```
KLa2ZnRe
1.0
5.3566 0.0000 0.0000
0.0000 5.3566 0.0000
0.0000 0.0000 4.6010
K La Zn Re
1 2 1 1
Direct
0.0000 0.0000 0.0000 K
0.0000 0.5000 0.0000 La
0.5000 0.0000 0.0000 La
0.5000 0.5000 0.5000 Zn
0.0000 0.0000 0.5000 Re
```

***

[18]
# KLaRh3

A geometry-optimized KLaRh3 structure (PBEsol, Alexandria).

## Properties
Formation energy from the elements = 1.33 eV per atom
E_tot = -24.26 eV/f.u.

Geometry as POSCAR:
```
KLaRh3
1.0
4.6985 0.0000 0.0000
0.0000 4.6985 0.0000
0.0000 0.0000 4.6985
K La Rh
1 1 3
Direct
0.0000 0.0000 0.0000 K
0.5000 0.5000 0.5000 La
0.0000 0.0000 0.5000 Rh
0.0000 0.5000 0.0000 Rh
0.5000 0.0000 0.0000 Rh
```

***

[19]
# K2LaRh

A geometry-optimized K2LaRh structure (PBEsol, Alexandria).

## Properties
Formation energy from the elements = 0.03 eV per atom
E_tot = -15.63 eV/f.u.

Geometry as POSCAR:
```
K2LaRh
1.0
3.9419 -2.2285 0.0000
3.9419 2.2285 0.0000
-2.4878 0.0000 9.7784
K La Rh
2 1 1
Direct
0.0000 0.0000 0.0000 K
0.1907 0.1907 0.6068 K
0.7674 0.7674 0.3032 La
0.4360 0.4360 0.3031 Rh
```

***

[20]
# KLaRh3

A geometry-optimized KLaRh3 structure (PBEsol, Alexandria).

## Properties
Formation energy from the elements = 0.89 eV per atom
E_tot = -26.43 eV/f.u.

Geometry as POSCAR:
```
KLaRh3
1.0
4.9309 0.0000 0.0000
0.0000 4.9309 0.0000
0.0000 0.0000 4.9309
K La Rh
1 1 3
Direct
0.0000 0.0000 0.0000 K
0.5000 0.5000 0.5000 La
0.0000 0.5000 0.5000 Rh
0.5000 0.0000 0.5000 Rh
0.5000 0.5000 0.0000 Rh
```